LaTcSb2I after structural relaxation. Source: Alexandria via LeMat-Bulk, functional GGA-PBE.

Cell: 6.1119 6.1119 6.0499 Å, 90.00 90.00 90.00°
With the nearest neighbours (Å) after each atom.
Fractional coordinates of all 5 atoms:
I 0.0000 0.0000 0.5000  2 La 3.02
Sb 0.0000 0.5000 0.0000  2 La 3.06
Sb 0.5000 0.0000 0.0000  2 La 3.06
Tc 0.5000 0.5000 0.5000  8 Sb 4.30, 4 I 4.32
La 0.0000 0.0000 0.0000  2 I 3.02, 4 Sb 3.06

Summary:
* total magnetization: 4.49 μB/cell
* volume: 45.20 Å³ per atom
* offset from the most stable computed form: 1052 meV per atom